(1)
This record from the Alexandria database describes crystalline Tm2HfCo2 at its relaxed geometry. The functional is PBE.

Output
ΔE to the lowest computed polymorph in meV per atom: 0
Space-group type: C2/c
ΔE_f in kJ/mol of formula units: -141
E in eV/atom: -6.915
Fermi-level density of states in states/eV per atom: 0.813

Structure (POSCAR):
```
Tm2HfCo2
1.0
-4.687 3.198 -0.735
-0.475 -5.598 0.941
0.537 2.343 6.766
Tm Hf Co
4 2 4
Cartesian
-2.548 0.368 0.897 Tm
-1.226 -2.360 2.868 Tm
-2.076 -0.425 6.075 Tm
-3.398 2.303 4.105 Tm
-4.099 3.474 1.028 Hf
-0.051 2.067 5.003 Hf
-3.337 -0.535 3.524 Co
-4.803 1.522 -0.444 Co
-1.287 0.478 3.448 Co
0.179 -1.579 7.417 Co
```



(2)
This record from the Alexandria database describes crystalline Tm3HfCo8 at its relaxed geometry. The functional is PBE.

Output
Space-group type: R3m
ΔE_f in kJ/mol of formula units: -318
E in eV/atom: -6.960
Fermi-level density of states in states/eV per atom: 1.195

Structure (POSCAR):
```
Tm3HfCo8
1.0
4.766 0.000 1.439
2.166 4.246 1.439
-0.003 -0.002 8.623
Tm Hf Co
3 1 8
Cartesian
2.594 1.589 8.633 Tm
6.931 4.245 2.881 Tm
3.464 2.122 5.751 Tm
6.067 3.716 5.745 Hf
5.392 1.855 3.637 Co
4.141 3.979 7.867 Co
3.029 1.855 2.924 Co
6.497 3.979 8.578 Co
1.301 0.797 4.305 Co
4.764 2.918 10.061 Co
4.103 3.960 3.637 Co
5.426 1.880 7.867 Co
```



(3)
This record from the Alexandria database describes crystalline Tm2HfCo9 at its relaxed geometry. The functional is PBE.

Output
Space-group type: R-3m
ΔE_f in kJ/mol of formula units: -242
E in eV/atom: -7.113
Fermi-level density of states in states/eV per atom: 1.302

Structure (POSCAR):
```
Tm2HfCo9
1.0
-0.286 -4.691 -1.228
3.696 -2.133 -2.322
4.417 -4.338 5.933
Tm Hf Co
2 1 9
Cartesian
4.779 -7.685 -0.581 Tm
3.048 -3.477 2.964 Tm
0.000 0.000 0.000 Hf
2.285 -4.557 -2.341 Co
5.542 -6.605 4.724 Co
3.913 -5.581 1.191 Co
2.494 -3.903 -0.051 Co
2.350 -6.265 -0.669 Co
4.355 -4.977 -1.220 Co
5.333 -7.259 2.433 Co
3.472 -6.186 3.603 Co
5.477 -4.897 3.052 Co
```



(4)
This record from the Alexandria database describes crystalline Tm2Hf3Co2 at its relaxed geometry. The functional is PBE.

Output
Space-group type: C2/m
ΔE_f in kJ/mol of formula units: -154
E in eV/atom: -7.801
Fermi-level density of states in states/eV per atom: 1.252

Structure (POSCAR):
```
Tm2Hf3Co2
1.0
-0.649 0.071 -3.360
4.326 -3.015 -2.644
-2.538 -7.364 -1.410
Tm Hf Co
2 3 2
Cartesian
1.530 -2.939 -2.102 Tm
-0.390 -7.368 -5.312 Tm
-0.325 0.036 -1.680 Hf
2.122 -5.603 -4.016 Hf
-0.983 -4.704 -3.397 Hf
1.941 -8.386 -4.040 Co
-0.802 -1.921 -3.373 Co
```



(5)
This record from the Alexandria database describes crystalline TmHfCo10 at its relaxed geometry. The functional is PBE.

Output
Space-group type: Pmmm
ΔE_f in kJ/mol of formula units: -145
E in eV/atom: -7.249
Fermi-level density of states in states/eV per atom: 1.430

Structure (POSCAR):
```
TmHfCo10
1.0
3.960 0.000 0.000
0.000 4.806 0.000
0.000 0.000 8.323
Tm Hf Co
1 1 10
Cartesian
0.000 0.000 0.000 Tm
0.000 2.403 4.161 Hf
0.000 0.000 2.843 Co
0.000 2.403 6.850 Co
0.000 2.403 1.473 Co
0.000 0.000 5.480 Co
1.980 0.000 4.161 Co
1.980 2.403 0.000 Co
1.980 1.214 2.120 Co
1.980 3.592 6.203 Co
1.980 3.592 2.120 Co
1.980 1.214 6.203 Co
```



(6)
This record from the Alexandria database describes crystalline TmHfCo at its relaxed geometry. The functional is PBE.

Output
ΔE to the lowest computed polymorph in meV per atom: 92
Space-group type: I4mm
ΔE_f in kJ/mol of formula units: -35
E in eV/atom: -7.297
Fermi-level density of states in states/eV per atom: 1.248

Structure (POSCAR):
```
TmHfCo
1.0
-0.004 0.092 -3.255
-3.022 -1.214 -0.031
-0.591 5.793 1.793
Hf Tm Co
1 1 1
Cartesian
-1.260 3.135 0.090 Hf
-0.075 0.187 0.005 Tm
-2.281 1.349 -1.588 Co
```



(7)
This record from the Alexandria database describes crystalline TmHfCo at its relaxed geometry. The functional is PBE.

Output
ΔE to the lowest computed polymorph in meV per atom: 23
Space-group type: P2_1/m
ΔE_f in kJ/mol of formula units: -55
E in eV/atom: -7.367
Fermi-level density of states in states/eV per atom: 1.067

Structure (POSCAR):
```
TmHfCo
1.0
-4.267 0.087 -0.514
-0.296 -5.018 1.614
-0.512 3.138 4.777
Tm Hf Co
2 2 2
Cartesian
-3.522 -1.960 1.869 Tm
-1.575 0.138 4.034 Tm
-3.912 -2.240 5.059 Hf
-1.185 0.418 0.844 Hf
-3.466 0.760 1.860 Co
-1.631 -2.582 4.042 Co
```



(8)
This record from the Alexandria database describes crystalline TmHf4Co5 at its relaxed geometry. The functional is PBE.

Output
Space-group type: P4/mmm
ΔE_f in kJ/mol of formula units: -361
E in eV/atom: -8.356
Fermi-level density of states in states/eV per atom: 0.764

Structure (POSCAR):
```
TmHf4Co5
1.0
3.164 0.000 0.000
0.000 3.164 0.000
0.000 0.000 16.043
Tm Hf Co
1 4 5
Cartesian
0.000 0.000 0.000 Tm
0.000 0.000 3.293 Hf
0.000 0.000 6.454 Hf
0.000 0.000 9.590 Hf
0.000 0.000 12.750 Hf
1.582 1.582 1.899 Co
1.582 1.582 4.942 Co
1.582 1.582 8.022 Co
1.582 1.582 11.102 Co
1.582 1.582 14.144 Co
```



(9)
This record from the Alexandria database describes crystalline Hf2UCo at its relaxed geometry. The functional is PBE.

Output
Space-group type: P4/mmm
ΔE_f in kJ/mol of formula units: -13
E in eV/atom: -9.608
Fermi-level density of states in states/eV per atom: 1.821

Structure (POSCAR):
```
Hf2UCo
1.0
3.093 0.000 0.000
0.000 3.093 0.000
0.000 0.000 7.952
Hf U Co
2 1 1
Cartesian
0.000 0.000 6.344 Hf
0.000 0.000 1.608 Hf
1.547 1.547 3.976 U
1.547 1.547 0.000 Co
```



(10)
This record from the Alexandria database describes crystalline HfUCo4 at its relaxed geometry. The functional is PBE.

Output
Space-group type: F-43m
ΔE_f in kJ/mol of formula units: -136
E in eV/atom: -8.513
Fermi-level density of states in states/eV per atom: 1.497

Structure (POSCAR):
```
HfUCo4
1.0
4.878 0.000 0.000
2.439 4.224 0.000
2.439 1.408 3.983
Hf U Co
1 1 4
Cartesian
0.000 0.000 0.000 Hf
2.439 1.408 0.996 U
4.878 2.816 0.496 Co
4.878 1.407 2.490 Co
6.099 3.521 2.490 Co
3.657 3.521 2.490 Co
```



(11)
This record from the Alexandria database describes crystalline HfU2Co9 at its relaxed geometry. The functional is PBE.

Output
ΔE to the lowest computed polymorph in meV per atom: 80
Space-group type: R-3m
ΔE_f in kJ/mol of formula units: -229
E in eV/atom: -8.238
Fermi-level density of states in states/eV per atom: 1.568

Structure (POSCAR):
```
HfU2Co9
1.0
4.767 0.000 0.000
2.383 4.128 0.000
2.383 1.376 8.101
Hf U Co
1 2 9
Cartesian
0.000 0.000 0.000 Hf
7.150 4.128 3.401 U
2.383 1.376 4.700 U
7.150 4.128 8.093 Co
2.383 1.376 0.008 Co
4.767 2.752 4.051 Co
3.579 2.066 1.978 Co
5.955 2.066 1.978 Co
4.767 4.124 1.978 Co
5.955 3.438 6.123 Co
4.767 1.380 6.123 Co
3.579 3.438 6.123 Co
```